Entry 1:
This record from Alexandria describes crystalline ZnCrH2 at its relaxed geometry. The functional is GGA-PBE.

Structure (CIF):
```
data_ZnCrH2
_symmetry_space_group_name_H-M 'F m -3 m'
_symmetry_Int_Tables_number 225
_symmetry_space_group_name_Hall '-F 4 2 3'
_cell_length_a 5.125
_cell_length_b 5.125
_cell_length_c 5.125
_cell_angle_alpha 90.00
_cell_angle_beta 90.00
_cell_angle_gamma 90.00
loop_
_atom_site_label
_atom_site_type_symbol
_atom_site_fract_x
_atom_site_fract_y
_atom_site_fract_z
Zn1 Zn 0.000 0.000 0.000
Cr1 Cr 0.000 0.000 0.500
H1 H 0.250 0.250 0.250
```

Computed properties:
**Energy relative to the lowest polymorph listed for this composition**: 395 meV per atom


Entry 2:
This record from Alexandria describes crystalline ZnCrH3 at its relaxed geometry. The functional is GGA-PBE.

Structure (CIF):
```
data_ZnCrH3
_symmetry_space_group_name_H-M 'P m -3 m'
_symmetry_Int_Tables_number 221
_symmetry_space_group_name_Hall '-P 4 2 3'
_cell_length_a 3.391
_cell_length_b 3.391
_cell_length_c 3.391
_cell_angle_alpha 90.00
_cell_angle_beta 90.00
_cell_angle_gamma 90.00
loop_
_atom_site_label
_atom_site_type_symbol
_atom_site_fract_x
_atom_site_fract_y
_atom_site_fract_z
Zn1 Zn 0.000 0.000 0.000
Cr1 Cr 0.500 0.500 0.500
H1 H 0.000 0.500 0.500
```

Computed properties:
**Energy relative to the lowest polymorph listed for this composition**: 0 meV per atom


Entry 3:
This record from Alexandria describes crystalline ZnCrH3 at its relaxed geometry. The functional is GGA-PBE.

Structure (CIF):
```
data_ZnCrH3
_symmetry_space_group_name_H-M 'P m -3 m'
_symmetry_Int_Tables_number 221
_symmetry_space_group_name_Hall '-P 4 2 3'
_cell_length_a 3.587
_cell_length_b 3.587
_cell_length_c 3.587
_cell_angle_alpha 90.00
_cell_angle_beta 90.00
_cell_angle_gamma 90.00
loop_
_atom_site_label
_atom_site_type_symbol
_atom_site_fract_x
_atom_site_fract_y
_atom_site_fract_z
Zn1 Zn 0.000 0.000 0.000
Cr1 Cr 0.500 0.500 0.500
H1 H 0.000 0.000 0.500
```

Computed properties:
**Energy relative to the lowest polymorph listed for this composition**: 365 meV per atom


Entry 4:
This record from Alexandria describes crystalline Zn2CrH at its relaxed geometry. The functional is GGA-PBE.

Structure (CIF):
```
data_Zn2CrH
_symmetry_space_group_name_H-M 'I -4 2 d'
_symmetry_Int_Tables_number 122
_symmetry_space_group_name_Hall 'I -4 2bw'
_cell_length_a 6.691
_cell_length_b 6.691
_cell_length_c 4.361
_cell_angle_alpha 90.00
_cell_angle_beta 90.00
_cell_angle_gamma 90.00
loop_
_atom_site_label
_atom_site_type_symbol
_atom_site_fract_x
_atom_site_fract_y
_atom_site_fract_z
Zn1 Zn 0.169 0.250 0.125
Cr1 Cr 0.000 0.000 0.500
H1 H 0.000 0.000 0.000
```

Computed properties:
**Energy relative to the lowest polymorph listed for this composition**: 0 meV per atom


Entry 5:
This record from Alexandria describes crystalline Zn2CrH at its relaxed geometry. The functional is GGA-PBE.

Structure (CIF):
```
data_Zn2CrH
_symmetry_space_group_name_H-M 'F m -3 m'
_symmetry_Int_Tables_number 225
_symmetry_space_group_name_Hall '-F 4 2 3'
_cell_length_a 6.031
_cell_length_b 6.031
_cell_length_c 6.031
_cell_angle_alpha 90.00
_cell_angle_beta 90.00
_cell_angle_gamma 90.00
loop_
_atom_site_label
_atom_site_type_symbol
_atom_site_fract_x
_atom_site_fract_y
_atom_site_fract_z
Zn1 Zn 0.250 0.250 0.250
Cr1 Cr 0.000 0.000 0.000
H1 H 0.000 0.000 0.500
```

Computed properties:
**Energy relative to the lowest polymorph listed for this composition**: 408 meV per atom


Entry 6:
This record from Alexandria describes crystalline ZnCr2H2 at its relaxed geometry. The functional is GGA-PBE.

Structure (CIF):
```
data_ZnCr2H2
_symmetry_space_group_name_H-M 'I 4/m m m'
_symmetry_Int_Tables_number 139
_symmetry_space_group_name_Hall '-I 4 2'
_cell_length_a 3.143
_cell_length_b 3.143
_cell_length_c 8.558
_cell_angle_alpha 90.00
_cell_angle_beta 90.00
_cell_angle_gamma 90.00
loop_
_atom_site_label
_atom_site_type_symbol
_atom_site_fract_x
_atom_site_fract_y
_atom_site_fract_z
Zn1 Zn 0.000 0.000 0.000
Cr1 Cr 0.000 0.000 0.337
H1 H 0.000 0.500 0.250
```

Computed properties:
**Energy relative to the lowest polymorph listed for this composition**: 0 meV per atom


Entry 7:
This record from Alexandria describes crystalline ZnCrH2 at its relaxed geometry. The functional is GGA-PBE.

Structure (CIF):
```
data_ZnCrH2
_symmetry_space_group_name_H-M 'R 3 m'
_symmetry_Int_Tables_number 160
_symmetry_space_group_name_Hall 'R 3 -2"'
_cell_length_a 2.8158
_cell_length_b 2.8158
_cell_length_c 14.9397
_cell_angle_alpha 90.00
_cell_angle_beta 90.00
_cell_angle_gamma 120.00
loop_
_atom_site_label
_atom_site_type_symbol
_atom_site_fract_x
_atom_site_fract_y
_atom_site_fract_z
Zn1 Zn 0.0000 0.0000 0.0000
Cr1 Cr 0.0000 0.0000 0.8198
H1 H 0.0000 0.0000 0.2065
H2 H 0.0000 0.0000 0.4444
```

Computed properties:
**Energy relative to the lowest polymorph listed for this composition**: 0 meV per atom


Entry 8:
This record from Alexandria describes crystalline ZnCr2H2 at its relaxed geometry. The functional is GGA-PBE.

Structure (CIF):
```
data_ZnCr2H2
_symmetry_space_group_name_H-M 'P 4/m b m'
_symmetry_Int_Tables_number 127
_symmetry_space_group_name_Hall '-P 4 2ab'
_cell_length_a 5.770
_cell_length_b 5.770
_cell_length_c 2.621
_cell_angle_alpha 90.00
_cell_angle_beta 90.00
_cell_angle_gamma 90.00
loop_
_atom_site_label
_atom_site_type_symbol
_atom_site_fract_x
_atom_site_fract_y
_atom_site_fract_z
Zn1 Zn 0.000 0.000 0.000
Cr1 Cr 0.128 0.372 0.500
H1 H 0.124 0.624 0.000
```

Computed properties:
**Energy relative to the lowest polymorph listed for this composition**: 306 meV per atom


Entry 9:
This record from Alexandria describes crystalline Zn2CrH5 at its relaxed geometry. The functional is GGA-PBE.

Structure (CIF):
```
data_Zn2CrH5
_symmetry_space_group_name_H-M 'I m m 2'
_symmetry_Int_Tables_number 44
_cell_length_a 3.120
_cell_length_b 6.689
_cell_length_c 6.462
_cell_angle_alpha 90.00
_cell_angle_beta 90.00
_cell_angle_gamma 90.00
loop_
_symmetry_equiv_pos_as_xyz
'x,y,z'
'-x,-y,z'
'-x,y,z'
'x,-y,z'
'x+1/2,y+1/2,z+1/2'
'-x+1/2,-y+1/2,z+1/2'
'-x+1/2,y+1/2,z+1/2'
'x+1/2,-y+1/2,z+1/2'
loop_
_atom_site_label
_atom_site_type_symbol
_atom_site_fract_x
_atom_site_fract_y
_atom_site_fract_z
Zn1 Zn 0.000 0.220 0.000
Cr1 Cr 0.000 0.500 0.276
H1 H 0.000 0.000 0.672
H2 H 0.000 0.244 0.286
H3 H 0.000 0.500 0.012
H4 H 0.000 0.500 0.539
```

Computed properties:
**E**: -3.571 eV/atom


Entry 10:
This record from Alexandria describes crystalline ZnCr3H at its relaxed geometry. The functional is GGA-PBE.

Structure (CIF):
```
data_ZnCr3H
_symmetry_space_group_name_H-M 'P m -3 m'
_symmetry_Int_Tables_number 221
_symmetry_space_group_name_Hall '-P 4 2 3'
_cell_length_a 3.698
_cell_length_b 3.698
_cell_length_c 3.698
_cell_angle_alpha 90.00
_cell_angle_beta 90.00
_cell_angle_gamma 90.00
loop_
_atom_site_label
_atom_site_type_symbol
_atom_site_fract_x
_atom_site_fract_y
_atom_site_fract_z
Zn1 Zn 0.000 0.000 0.000
Cr1 Cr 0.000 0.500 0.500
H1 H 0.500 0.500 0.500
```

Computed properties:
**Energy relative to the lowest polymorph listed for this composition**: 0 meV per atom


Entry 11:
This record from Alexandria describes crystalline Zn2CrH2 at its relaxed geometry. The functional is GGA-PBE.

Structure (CIF):
```
data_Zn2CrH2
_symmetry_space_group_name_H-M 'I 4/m m m'
_symmetry_Int_Tables_number 139
_symmetry_space_group_name_Hall '-I 4 2'
_cell_length_a 2.622
_cell_length_b 2.622
_cell_length_c 13.767
_cell_angle_alpha 90.00
_cell_angle_beta 90.00
_cell_angle_gamma 90.00
loop_
_atom_site_label
_atom_site_type_symbol
_atom_site_fract_x
_atom_site_fract_y
_atom_site_fract_z
Zn1 Zn 0.000 0.000 0.140
Cr1 Cr 0.000 0.000 0.500
H1 H 0.000 0.500 0.250
```

Computed properties:
**Energy relative to the lowest polymorph listed for this composition**: 302 meV per atom


Entry 12:
This record from Alexandria describes crystalline ZnCrH2 at its relaxed geometry. The functional is GGA-PBE.

Structure (CIF):
```
data_ZnCrH2
_symmetry_space_group_name_H-M 'I -4 2 d'
_symmetry_Int_Tables_number 122
_symmetry_space_group_name_Hall 'I -4 2bw'
_cell_length_a 4.017
_cell_length_b 4.017
_cell_length_c 8.935
_cell_angle_alpha 90.00
_cell_angle_beta 90.00
_cell_angle_gamma 90.00
loop_
_atom_site_label
_atom_site_type_symbol
_atom_site_fract_x
_atom_site_fract_y
_atom_site_fract_z
Zn1 Zn 0.000 0.000 0.000
Cr1 Cr 0.000 0.000 0.500
H1 H 0.207 0.250 0.625
```

Computed properties:
**Energy relative to the lowest polymorph listed for this composition**: 103 meV per atom


Entry 13:
This record from Alexandria describes crystalline Zn2Cr2H at its relaxed geometry. The functional is GGA-PBE.

Structure (CIF):
```
data_Zn2Cr2H
_symmetry_space_group_name_H-M 'I 4/m m m'
_symmetry_Int_Tables_number 139
_symmetry_space_group_name_Hall '-I 4 2'
_cell_length_a 3.360
_cell_length_b 3.360
_cell_length_c 12.095
_cell_angle_alpha 90.00
_cell_angle_beta 90.00
_cell_angle_gamma 90.00
loop_
_atom_site_label
_atom_site_type_symbol
_atom_site_fract_x
_atom_site_fract_y
_atom_site_fract_z
Zn1 Zn 0.000 0.500 0.250
Cr1 Cr 0.000 0.000 0.074
H1 H 0.000 0.000 0.500
```

Computed properties:
**Energy relative to the lowest polymorph listed for this composition**: 660 meV per atom


Entry 14:
This record from Alexandria describes crystalline ZnCr3H at its relaxed geometry. The functional is GGA-PBE.

Structure (CIF):
```
data_ZnCr3H
_symmetry_space_group_name_H-M 'P m -3 m'
_symmetry_Int_Tables_number 221
_symmetry_space_group_name_Hall '-P 4 2 3'
_cell_length_a 4.379
_cell_length_b 4.379
_cell_length_c 4.379
_cell_angle_alpha 90.00
_cell_angle_beta 90.00
_cell_angle_gamma 90.00
loop_
_atom_site_label
_atom_site_type_symbol
_atom_site_fract_x
_atom_site_fract_y
_atom_site_fract_z
Zn1 Zn 0.000 0.000 0.000
Cr1 Cr 0.000 0.000 0.500
H1 H 0.500 0.500 0.500
```

Computed properties:
**Energy relative to the lowest polymorph listed for this composition**: 2299 meV per atom


Entry 15:
This record from Alexandria describes crystalline Zr2CrH at its relaxed geometry. The functional is GGA-PBE.

Structure (CIF):
```
data_Zr2CrH
_symmetry_space_group_name_H-M 'F m -3 m'
_symmetry_Int_Tables_number 225
_symmetry_space_group_name_Hall '-F 4 2 3'
_cell_length_a 6.287
_cell_length_b 6.287
_cell_length_c 6.287
_cell_angle_alpha 90.00
_cell_angle_beta 90.00
_cell_angle_gamma 90.00
loop_
_atom_site_label
_atom_site_type_symbol
_atom_site_fract_x
_atom_site_fract_y
_atom_site_fract_z
Zr1 Zr 0.250 0.250 0.250
Cr1 Cr 0.000 0.000 0.000
H1 H 0.000 0.000 0.500
```

Computed properties:
**Energy relative to the lowest polymorph listed for this composition**: 333 meV per atom


Entry 16:
This record from Alexandria describes crystalline Zr2CrH at its relaxed geometry. The functional is GGA-PBE.

Structure (CIF):
```
data_Zr2CrH
_symmetry_space_group_name_H-M 'I -4 2 d'
_symmetry_Int_Tables_number 122
_symmetry_space_group_name_Hall 'I -4 2bw'
_cell_length_a 6.318
_cell_length_b 6.318
_cell_length_c 6.452
_cell_angle_alpha 90.00
_cell_angle_beta 90.00
_cell_angle_gamma 90.00
loop_
_atom_site_label
_atom_site_type_symbol
_atom_site_fract_x
_atom_site_fract_y
_atom_site_fract_z
Zr1 Zr 0.171 0.250 0.125
Cr1 Cr 0.000 0.000 0.500
H1 H 0.000 0.000 0.000
```

Computed properties:
**Energy relative to the lowest polymorph listed for this composition**: 0 meV per atom


Entry 17:
This record from Alexandria describes crystalline ZrCrH at its relaxed geometry. The functional is GGA-PBE.

Structure (CIF):
```
data_ZrCrH
_symmetry_space_group_name_H-M 'C 1 m 1'
_symmetry_Int_Tables_number 8
_cell_length_a 10.422
_cell_length_b 2.975
_cell_length_c 5.999
_cell_angle_alpha 90.00
_cell_angle_beta 124.79
_cell_angle_gamma 90.00
loop_
_symmetry_equiv_pos_as_xyz
'x,y,z'
'x,-y,z'
'x+1/2,y+1/2,z'
'x+1/2,-y+1/2,z'
loop_
_atom_site_label
_atom_site_type_symbol
_atom_site_fract_x
_atom_site_fract_y
_atom_site_fract_z
Zr1 Zr 0.000 0.000 0.000
Zr2 Zr 0.107 0.500 0.615
Cr1 Cr 0.297 0.000 0.124
Cr2 Cr 0.302 0.500 0.417
H1 H 0.299 0.000 0.822
H2 H 0.435 0.500 0.296
```

Computed properties:
**E**: -7.095 eV/atom


Entry 18:
This record from Alexandria describes crystalline Zr2CrH2 at its relaxed geometry. The functional is GGA-PBE.

Structure (CIF):
```
data_Zr2CrH2
_symmetry_space_group_name_H-M 'I 4/m m m'
_symmetry_Int_Tables_number 139
_symmetry_space_group_name_Hall '-I 4 2'
_cell_length_a 3.262
_cell_length_b 3.262
_cell_length_c 11.792
_cell_angle_alpha 90.00
_cell_angle_beta 90.00
_cell_angle_gamma 90.00
loop_
_atom_site_label
_atom_site_type_symbol
_atom_site_fract_x
_atom_site_fract_y
_atom_site_fract_z
Zr1 Zr 0.000 0.000 0.135
Cr1 Cr 0.000 0.000 0.500
H1 H 0.000 0.500 0.250
```

Computed properties:
**E**: -6.888 eV/atom


Entry 19:
This record from Alexandria describes crystalline ZrCrH3 at its relaxed geometry. The functional is GGA-PBE.

Structure (CIF):
```
data_ZrCrH3
_symmetry_space_group_name_H-M 'P m -3 m'
_symmetry_Int_Tables_number 221
_symmetry_space_group_name_Hall '-P 4 2 3'
_cell_length_a 3.442
_cell_length_b 3.442
_cell_length_c 3.442
_cell_angle_alpha 90.00
_cell_angle_beta 90.00
_cell_angle_gamma 90.00
loop_
_atom_site_label
_atom_site_type_symbol
_atom_site_fract_x
_atom_site_fract_y
_atom_site_fract_z
Zr1 Zr 0.000 0.000 0.000
Cr1 Cr 0.500 0.500 0.500
H1 H 0.000 0.500 0.500
```

Computed properties:
**E**: -5.806 eV/atom


Entry 20:
This record from Alexandria describes crystalline ZrCrH3 at its relaxed geometry. The functional is GGA-PBE.

Structure (CIF):
```
data_ZrCrH3
_symmetry_space_group_name_H-M 'P m -3 m'
_symmetry_Int_Tables_number 221
_symmetry_space_group_name_Hall '-P 4 2 3'
_cell_length_a 3.785
_cell_length_b 3.785
_cell_length_c 3.785
_cell_angle_alpha 90.00
_cell_angle_beta 90.00
_cell_angle_gamma 90.00
loop_
_atom_site_label
_atom_site_type_symbol
_atom_site_fract_x
_atom_site_fract_y
_atom_site_fract_z
Zr1 Zr 0.000 0.000 0.000
Cr1 Cr 0.500 0.500 0.500
H1 H 0.000 0.000 0.500
```

Computed properties:
**E**: -5.406 eV/atom


Number 1: calculated volume 8.4 A^3/atom. Number 2: calculated volume 7.8 A^3/atom. Number 3: calculated volume 9.2 A^3/atom. Number 4: calculated volume 12.2 A^3/atom. Number 5: calculated volume 13.7 A^3/atom. Number 6: calculated volume 8.5 A^3/atom. Number 7: calculated volume 8.5 A^3/atom. Number 8: calculated volume 8.7 A^3/atom. Number 9: calculated volume 8.4 A^3/atom. Number 10: calculated volume 10.1 A^3/atom. Number 11: calculated volume 9.5 A^3/atom. Number 12: calculated volume 9.0 A^3/atom. Number 13: calculated volume 13.7 A^3/atom. Number 14: calculated volume 16.8 A^3/atom. Number 15: calculated volume 15.5 A^3/atom. Number 16: calculated volume 16.1 A^3/atom. Number 17: calculated volume 12.7 A^3/atom. Number 18: calculated volume 12.5 A^3/atom. Number 19: calculated volume 8.2 A^3/atom. Number 20: calculated volume 10.8 A^3/atom.